Entry 1:
Here is crystalline SrMgTc3 at its relaxed geometry from the Alexandria database. Energies are from GGA-PBEsol.

abc: 4.7165 4.7165 4.7165
angles: 90.00 90.00 90.00
With the nearest neighbours (Å) after each atom.
Atoms (fractional coordinates):
Sr: 0.5000 0.5000 0.5000  12 Tc 3.34
Mg: 0.0000 0.0000 0.0000  6 Tc 2.36
Tc: 0.0000 0.5000 0.0000  2 Mg 2.36
Tc: 0.0000 0.0000 0.5000  2 Mg 2.36
Tc: 0.5000 0.0000 0.0000  2 Mg 2.36

Results
Total DFT energy (no corrections) = -27.7 eV/f.u.
Space group = Pm-3m
Total moment = 4.8 Bohr magnetons per cell
Formation energy = 931 kJ/mol of formula units


Entry 2:
Here is crystalline Sr2MgTc at its relaxed geometry from the Alexandria database. Energies are from GGA-PBEsol.

abc: 3.5176 3.5166 9.2652
angles: 90.00 90.00 90.00
With the nearest neighbours (Å) after each atom.
Atoms (fractional coordinates):
Mg: 0.5000 0.5000 0.5000  4 Mg 3.52, 8 Sr 3.67
Sr: 0.0000 0.0000 0.7911  4 Tc 3.15, 4 Sr 3.52
Sr: 0.0000 0.0000 0.2089  4 Tc 3.15, 4 Sr 3.52
Tc: 0.5000 0.5000 0.0000  8 Sr 3.15, 4 Tc 3.52

Results
Total DFT energy (no corrections) = -14.1 eV/f.u.
Space group = P4/mmm
Total moment = 1.5 Bohr magnetons per cell
Formation energy = 250 kJ/mol of formula units


Entry 3:
Here is crystalline Sr4MgTe at its relaxed geometry from the Alexandria database. Energies are from GGA-PBEsol.

abc: 7.0790 7.0790 7.0790
angles: 60.00 60.00 60.00
With the nearest neighbours (Å) after each atom.
Atoms (fractional coordinates):
Mg: 0.0000 0.0000 0.0000  12 Sr 4.15, 4 Te 4.33
Sr: 0.3753 0.3753 0.3753  6 Sr 3.53-3.55
Sr: 0.3753 0.3753 0.8742  6 Sr 3.53-3.55
Sr: 0.8742 0.3753 0.3753  6 Sr 3.53-3.55
Sr: 0.3753 0.8742 0.3753  6 Sr 3.53-3.55
Te: 0.7500 0.7500 0.7500  12 Sr 4.15, 4 Mg 4.33

Results
Uncorrected formation energy = 0.13 eV/atom
Total DFT energy (no corrections) = -11.8 eV/f.u.
Space group = F-43m
Total moment = 0.0 Bohr magnetons per cell


Entry 4:
Here is crystalline Sr2MgTe at its relaxed geometry from the Alexandria database. Energies are from GGA-PBEsol.

abc: 4.1135 5.4169 7.0578
angles: 112.57 106.94 90.00
With the nearest neighbours (Å) after each atom.
Atoms (fractional coordinates):
Mg: 0.2101 0.7101 0.4202  2 Te 3.21, 4 Sr 3.52
Sr: 0.9958 0.9958 0.9916  4 Te 3.41, 2 Sr 3.78, 2 Mg 3.79
Sr: 0.7832 0.2832 0.5663  2 Te 3.49, 4 Mg 3.52, 2 Sr 3.78
Te: 0.5109 0.5109 0.0219  2 Mg 3.21, 6 Sr 3.41-3.49

Results
Uncorrected formation energy = -0.65 eV/atom
Total DFT energy (no corrections) = -11.5 eV/f.u.
Space group = Imm2
Total moment = 0.0 Bohr magnetons per cell


Entry 5:
Here is crystalline SrMgTe2 at its relaxed geometry from the Alexandria database. Energies are from GGA-PBEsol.

abc: 4.5479 5.7506 5.7506
angles: 69.26 66.71 66.71
With the nearest neighbours (Å) after each atom.
Atoms (fractional coordinates):
Mg: 0.0000 0.5000 0.5000  4 Te 2.90
Sr: 0.5000 0.0000 0.0000  4 Te 3.27
Te: 0.2837 0.7163 0.7163  2 Mg 2.90
Te: 0.7163 0.2837 0.2837  2 Mg 2.90

Results
Uncorrected formation energy = -0.99 eV/atom
Total DFT energy (no corrections) = -14.6 eV/f.u.
Space group = Immm
Total moment = 0.0 Bohr magnetons per cell


Entry 6:
Here is crystalline Sr2MgTe at its relaxed geometry from the Alexandria database. Energies are from GGA-PBEsol.

abc: 5.1691 5.1561 6.1521
angles: 114.77 114.84 90.00
With the nearest neighbours (Å) after each atom.
Atoms (fractional coordinates):
Mg: 0.0000 0.5000 0.0000  8 Sr 3.58, 4 Te 3.65
Sr: 0.7497 0.7497 0.4994  4 Te 3.57-3.58, 4 Mg 3.58, 4 Sr 3.65
Sr: 0.2503 0.2503 0.5006  4 Te 3.57-3.58, 4 Mg 3.58, 4 Sr 3.65
Te: 0.5000 0.0000 0.0000  8 Sr 3.57-3.58, 4 Mg 3.65

Results
Uncorrected formation energy = -0.60 eV/atom
Total DFT energy (no corrections) = -11.3 eV/f.u.
Space group = Immm
Total moment = 0.0 Bohr magnetons per cell


Entry 7:
Here is crystalline SrMg2Te2 at its relaxed geometry from the Alexandria database. Energies are from GGA-PBEsol.

abc: 4.2672 4.2672 8.4368
angles: 104.65 104.65 90.00
With the nearest neighbours (Å) after each atom.
Atoms (fractional coordinates):
Sr: 0.0000 0.0000 0.0000  8 Te 3.46
Mg: 0.2500 0.7500 0.5000  4 Mg 3.02, 4 Te 3.09
Mg: 0.7500 0.2500 0.5000  4 Mg 3.02, 4 Te 3.09
Te: 0.3920 0.3920 0.7839  4 Mg 3.09, 1 Te 3.41
Te: 0.6080 0.6080 0.2161  4 Mg 3.09, 1 Te 3.41

Results
Uncorrected formation energy = -0.67 eV/atom
Total DFT energy (no corrections) = -15.7 eV/f.u.
Space group = I4/mmm
Total moment = 0.0 Bohr magnetons per cell


Entry 8:
Here is crystalline SrMgTe2 at its relaxed geometry from the Alexandria database. Energies are from GGA-PBEsol.

abc: 4.4844 4.4958 6.3311
angles: 90.00 90.00 89.98
With the nearest neighbours (Å) after each atom.
Atoms (fractional coordinates):
Mg: 0.6247 0.3404 0.0000  6 Te 3.01-3.35
Sr: 0.1249 0.8823 0.5000  6 Te 3.17-3.18
Te: 0.1254 0.8943 0.0000  4 Mg 3.01-3.35, 2 Sr 3.17
Te: 0.6250 0.3829 0.5000  2 Mg 3.17, 4 Sr 3.17-3.18

Results
Uncorrected formation energy = -1.16 eV/atom
Total DFT energy (no corrections) = -15.3 eV/f.u.
Space group = Pmm2
Total moment = 0.0 Bohr magnetons per cell


Entry 9:
Here is crystalline SrMg3Te at its relaxed geometry from the Alexandria database. Energies are from GGA-PBEsol.

abc: 6.1004 6.1004 6.1004
angles: 90.00 90.00 90.00
With the nearest neighbours (Å) after each atom.
Atoms (fractional coordinates):
Sr: 0.0000 0.0000 0.0000  6 Mg 3.05
Mg: 0.0000 0.5000 0.0000  2 Sr 3.05
Mg: 0.0000 0.0000 0.5000  2 Sr 3.05
Mg: 0.5000 0.0000 0.0000  2 Sr 3.05
Te: 0.5000 0.5000 0.5000  12 Mg 4.31

Results
Uncorrected formation energy = 0.93 eV/atom
Total DFT energy (no corrections) = -5.9 eV/f.u.
Space group = Pm-3m
Total moment = 0.0 Bohr magnetons per cell


Entry 10:
Here is crystalline SrMgTe2 at its relaxed geometry from the Alexandria database. Energies are from GGA-PBEsol.

abc: 4.4229 4.4229 7.6936
angles: 73.30 73.30 60.00
With the nearest neighbours (Å) after each atom.
Atoms (fractional coordinates):
Sr: 0.0000 0.0000 0.0000  6 Te 3.27
Mg: 0.5000 0.5000 0.5000  6 Te 3.00
Te: 0.2394 0.2394 0.2817  3 Mg 3.00, 3 Sr 3.27
Te: 0.7606 0.7606 0.7183  3 Mg 3.00, 3 Sr 3.27

Results
Uncorrected formation energy = -1.25 eV/atom
Total DFT energy (no corrections) = -15.6 eV/f.u.
Space group = R-3m
Total moment = 0.0 Bohr magnetons per cell


Entry 11:
Here is crystalline Sr3MgTi at its relaxed geometry from the Alexandria database. Energies are from GGA-PBEsol.

abc: 6.1713 6.1713 6.1713
angles: 90.00 90.00 90.00
With the nearest neighbours (Å) after each atom.
Atoms (fractional coordinates):
Sr: 0.0000 0.5000 0.0000  2 Mg 3.09
Sr: 0.0000 0.0000 0.5000  2 Mg 3.09
Sr: 0.5000 0.0000 0.0000  2 Mg 3.09
Mg: 0.0000 0.0000 0.0000  6 Sr 3.09
Ti: 0.5000 0.5000 0.5000  12 Sr 4.36

Results
Total DFT energy (no corrections) = -11.1 eV/f.u.
Space group = Pm-3m
Total moment = 3.3 Bohr magnetons per cell
Formation energy = 434 kJ/mol of formula units


Entry 12:
Here is crystalline SrMgTl at its relaxed geometry from the Alexandria database. Energies are from GGA-PBEsol.

abc: 5.1704 5.1704 5.1704
angles: 60.00 60.00 60.00
With the nearest neighbours (Å) after each atom.
Atoms (fractional coordinates):
Mg: 0.2500 0.2500 0.2500  4 Tl 3.17, 4 Sr 3.17
Sr: 0.0000 0.0000 0.0000  4 Mg 3.17
Tl: 0.5000 0.5000 0.5000  4 Mg 3.17

Results
Total DFT energy (no corrections) = -6.3 eV/f.u.
Space group = F-43m
Total moment = 0.0 Bohr magnetons per cell
Formation energy = -8 kJ/mol of formula units


Entry 13:
Here is crystalline Sr2MgTl at its relaxed geometry from the Alexandria database. Energies are from GGA-PBEsol.

abc: 3.9611 5.7695 6.8872
angles: 114.95 106.71 90.00
With the nearest neighbours (Å) after each atom.
Atoms (fractional coordinates):
Sr: 0.9843 0.9848 0.9685  4 Tl 3.53, 2 Sr 3.75, 3 Mg 3.80-3.93
Sr: 0.7817 0.2812 0.5634  2 Tl 3.48, 4 Mg 3.60, 2 Sr 3.75
Tl: 0.5231 0.5239 0.0462  2 Mg 2.98
Mg: 0.2109 0.7100 0.4218  2 Tl 2.98

Results
Total DFT energy (no corrections) = -8.9 eV/f.u.
Space group = Cm
Total moment = 0.0 Bohr magnetons per cell
Formation energy = -88 kJ/mol of formula units


Entry 14:
Here is crystalline SrMg2Tl at its relaxed geometry from the Alexandria database. Energies are from GGA-PBEsol.

abc: 4.7044 4.6959 5.1075
angles: 90.00 90.00 90.00
With the nearest neighbours (Å) after each atom.
Atoms (fractional coordinates):
Mg: 0.0000 0.0000 0.0000  4 Mg 3.32, 4 Tl 3.47, 4 Sr 3.47
Mg: 0.5000 0.5000 0.0000  4 Mg 3.32, 4 Sr 3.47, 4 Tl 3.47
Sr: 0.5000 0.0000 0.5000  4 Tl 3.32, 8 Mg 3.47
Tl: 0.0000 0.5000 0.5000  4 Sr 3.32, 8 Mg 3.47

Results
Total DFT energy (no corrections) = -8.4 eV/f.u.
Space group = P4/mmm
Total moment = 0.0 Bohr magnetons per cell
Formation energy = -51 kJ/mol of formula units


Entry 15:
Here is crystalline SrMgTl3 at its relaxed geometry from the Alexandria database. Energies are from GGA-PBEsol.

abc: 6.0575 6.0575 6.0575
angles: 90.00 90.00 90.00
With the nearest neighbours (Å) after each atom.
Atoms (fractional coordinates):
Sr: 0.0000 0.0000 0.0000  6 Tl 3.03
Tl: 0.0000 0.5000 0.0000  2 Sr 3.03
Tl: 0.0000 0.0000 0.5000  2 Sr 3.03
Tl: 0.5000 0.0000 0.0000  2 Sr 3.03
Mg: 0.5000 0.5000 0.5000  12 Tl 4.28

Results
Total DFT energy (no corrections) = -8.0 eV/f.u.
Space group = Pm-3m
Total moment = 0.0 Bohr magnetons per cell
Formation energy = 328 kJ/mol of formula units


Entry 16:
Here is crystalline Sr2MgTl at its relaxed geometry from the Alexandria database. Energies are from GGA-PBEsol.

abc: 3.9803 5.7753 5.7758
angles: 90.00 90.00 90.00
With the nearest neighbours (Å) after each atom.
Atoms (fractional coordinates):
Sr: 0.0000 0.0000 0.1232  4 Tl 3.50-3.51, 4 Mg 3.51
Sr: 0.0000 0.5000 0.6265  4 Mg 3.50-3.52, 4 Tl 3.51
Tl: 0.5000 0.0000 0.6221  8 Sr 3.50-3.51
Mg: 0.5000 0.5000 0.1282  8 Sr 3.50-3.52

Results
Total DFT energy (no corrections) = -9.2 eV/f.u.
Space group = Pmm2
Total moment = 0.0 Bohr magnetons per cell
Formation energy = -109 kJ/mol of formula units


Entry 17:
Here is crystalline SrMgTl4 at its relaxed geometry from the Alexandria database. Energies are from GGA-PBEsol.

abc: 6.3331 6.3331 6.3331
angles: 60.00 60.00 60.00
With the nearest neighbours (Å) after each atom.
Atoms (fractional coordinates):
Mg: 0.7500 0.7500 0.7500  12 Tl 3.71, 4 Sr 3.88
Sr: 0.0000 0.0000 0.0000  12 Tl 3.71, 4 Mg 3.88
Tl: 0.3754 0.3754 0.3754  6 Tl 3.16-3.18
Tl: 0.3754 0.3754 0.8738  6 Tl 3.16-3.18
Tl: 0.8738 0.3754 0.3754  6 Tl 3.16-3.18
Tl: 0.3754 0.8738 0.3754  6 Tl 3.16-3.18

Results
Total DFT energy (no corrections) = -14.6 eV/f.u.
Space group = F-43m
Total moment = 0.0 Bohr magnetons per cell
Formation energy = -55 kJ/mol of formula units


Entry 18:
Here is crystalline Sr2MgTl at its relaxed geometry from the Alexandria database. Energies are from GGA-PBEsol.

abc: 5.0721 5.0721 6.2397
angles: 113.98 113.98 90.00
With the nearest neighbours (Å) after each atom.
Atoms (fractional coordinates):
Mg: 0.2500 0.7500 0.5000  8 Sr 3.59-3.60, 4 Tl 3.60
Sr: 0.0000 0.0000 0.0000  4 Tl 3.59, 4 Mg 3.60, 4 Sr 3.60
Sr: 0.7500 0.2500 0.5000  4 Mg 3.59, 4 Tl 3.60, 4 Sr 3.60
Tl: 0.5000 0.5000 0.0000  8 Sr 3.59-3.60, 4 Mg 3.60

Results
Total DFT energy (no corrections) = -8.5 eV/f.u.
Space group = I-4m2
Total moment = 0.0 Bohr magnetons per cell
Formation energy = -50 kJ/mol of formula units


Entry 19:
Here is crystalline SrMg2Tl at its relaxed geometry from the Alexandria database. Energies are from GGA-PBEsol.

abc: 5.3417 5.3417 5.3417
angles: 60.00 60.00 60.00
With the nearest neighbours (Å) after each atom.
Atoms (fractional coordinates):
Sr: 0.2500 0.2500 0.2500  4 Mg 3.27, 4 Tl 3.27
Tl: 0.5000 0.5000 0.5000  4 Mg 3.27, 4 Sr 3.27
Mg: 0.7500 0.7500 0.7500  4 Tl 3.27, 4 Mg 3.27
Mg: 0.0000 0.0000 0.0000  4 Mg 3.27, 4 Sr 3.27

Results
Total DFT energy (no corrections) = -8.7 eV/f.u.
Space group = F-43m
Total moment = 0.0 Bohr magnetons per cell
Formation energy = -75 kJ/mol of formula units


Entry 20:
Here is crystalline SrMg2Tl at its relaxed geometry from the Alexandria database. Energies are from GGA-PBEsol.

abc: 3.7118 5.8422 5.8422
angles: 109.90 90.00 90.00
With the nearest neighbours (Å) after each atom.
Atoms (fractional coordinates):
Mg: 0.0000 0.5000 0.0000  4 Mg 3.35-3.71, 4 Tl 3.46, 4 Sr 3.46
Mg: 0.0000 0.0000 0.5000  4 Mg 3.35-3.71, 4 Sr 3.46, 4 Tl 3.46
Sr: 0.5000 0.0000 0.0000  2 Tl 3.35, 8 Mg 3.46, 2 Sr 3.71
Tl: 0.5000 0.5000 0.5000  2 Sr 3.35, 8 Mg 3.46, 2 Tl 3.71

Results
Total DFT energy (no corrections) = -7.9 eV/f.u.
Space group = Cmmm
Total moment = 0.0 Bohr magnetons per cell
Formation energy = -1 kJ/mol of formula units